Record 1
# SmPuAl2 (PBE, optimized geometry)
# - Electronic total energy: -27.432 eV per cell
# - Density: 8007 kg/m³
# - Calculated volume: 93.0 Å³ per cell
# - Spin magnetization: 5.4 Bohr magnetons per cell
data_SmPuAl2
_space_group_name_H-M_alt 'P 4/m m m'
_space_group_IT_number 123
_space_group_name_Hall '-P 4 2'
_cell_length_a 3.2235
_cell_length_b 3.2235
_cell_length_c 8.9473
_cell_angle_alpha 90.00
_cell_angle_beta 90.00
_cell_angle_gamma 90.00
loop_
_atom_site_label
_atom_site_type_symbol
_atom_site_fract_x
_atom_site_fract_y
_atom_site_fract_z
Sm1 Sm 0.0000 0.0000 0.0000
Pu1 Pu 0.0000 0.0000 0.5000
Al1 Al 0.5000 0.5000 0.2549

Record 2
# SmPuAl2 (PBE, optimized geometry)
# - Electronic total energy: -27.275 eV per cell
# - Density: 7780 kg/m³
# - Calculated volume: 95.7 Å³ per cell
# - Spin magnetization: 5.9 Bohr magnetons per cell
data_SmPuAl2
_space_group_name_H-M_alt 'P 4/m m m'
_space_group_IT_number 123
_space_group_name_Hall '-P 4 2'
_cell_length_a 4.7677
_cell_length_b 4.7677
_cell_length_c 4.2097
_cell_angle_alpha 90.00
_cell_angle_beta 90.00
_cell_angle_gamma 90.00
loop_
_atom_site_label
_atom_site_type_symbol
_atom_site_fract_x
_atom_site_fract_y
_atom_site_fract_z
Sm1 Sm 0.0000 0.0000 0.0000
Pu1 Pu 0.5000 0.5000 0.0000
Al1 Al 0.0000 0.5000 0.5000

Record 3
# Sm2PuAl (PBE, optimized geometry)
# - Distance to the lowest polymorph of the same formula: 0.000 eV per atom
# - Density: 8509 kg/m³
# - Calculated volume: 111.6 Å³ per cell
# - Spin magnetization: 6.5 Bohr magnetons per cell
data_Sm2PuAl
_space_group_name_H-M_alt 'P 4/m m m'
_space_group_IT_number 123
_space_group_name_Hall '-P 4 2'
_cell_length_a 3.5571
_cell_length_b 3.5571
_cell_length_c 8.8172
_cell_angle_alpha 90.00
_cell_angle_beta 90.00
_cell_angle_gamma 90.00
loop_
_atom_site_label
_atom_site_type_symbol
_atom_site_fract_x
_atom_site_fract_y
_atom_site_fract_z
Sm1 Sm 0.0000 0.0000 0.2194
Pu1 Pu 0.5000 0.5000 0.5000
Al1 Al 0.5000 0.5000 0.0000

Record 4
# SmPuAlTl (PBE, optimized geometry)
# - Electronic total energy: -102.815 eV per cell
# - Density: 9763 kg/m³
# - Calculated volume: 425.7 Å³ per cell
# - Spin magnetization: 23.8 Bohr magnetons per cell
data_SmPuAlTl
_space_group_name_H-M_alt 'F -4 3 m'
_space_group_IT_number 216
_space_group_name_Hall 'F -4 2 3'
_cell_length_a 7.5226
_cell_length_b 7.5226
_cell_length_c 7.5226
_cell_angle_alpha 90.00
_cell_angle_beta 90.00
_cell_angle_gamma 90.00
loop_
_atom_site_label
_atom_site_type_symbol
_atom_site_fract_x
_atom_site_fract_y
_atom_site_fract_z
Sm1 Sm 0.0000 0.0000 0.0000
Pu1 Pu 0.0000 0.0000 0.5000
Al1 Al 0.2500 0.2500 0.7500
Tl1 Tl 0.2500 0.2500 0.2500

Please write out number 3 again, unchanged.
# Sm2PuAl (PBE, optimized geometry)
# - Distance to the lowest polymorph of the same formula: 0.000 eV per atom
# - Density: 8509 kg/m³
# - Calculated volume: 111.6 Å³ per cell
# - Spin magnetization: 6.5 Bohr magnetons per cell
data_Sm2PuAl
_space_group_name_H-M_alt 'P 4/m m m'
_space_group_IT_number 123
_space_group_name_Hall '-P 4 2'
_cell_length_a 3.5571
_cell_length_b 3.5571
_cell_length_c 8.8172
_cell_angle_alpha 90.00
_cell_angle_beta 90.00
_cell_angle_gamma 90.00
loop_
_atom_site_label
_atom_site_type_symbol
_atom_site_fract_x
_atom_site_fract_y
_atom_site_fract_z
Sm1 Sm 0.0000 0.0000 0.2194
Pu1 Pu 0.5000 0.5000 0.5000
Al1 Al 0.5000 0.5000 0.0000

> Which formula does entry 2 have?

SmPuAl2

> Among the records above, which one has the highest calculated volume?

SmPuAlTl